An optimized crystal structure of RbPuVF6, computed with GGA+U.

Summary:
DOS at the Fermi energy   0.64 states/eV/atom
Raw total energy   -0.253 hartree per atom

a b c (Å): 7.481 7.908 10.667
angles (deg): 90.00 90.00 90.00
Space group Imma (No. 74)
Symmetry-distinct sites (fractional):
Rb (0.000, 0.250, 0.087)
Pu (0.000, 0.000, 0.500)
V (0.250, 0.250, 0.750)
F (0.000, 0.250, 0.387)
F (0.000, 0.250, 0.659)
F (0.233, 0.056, 0.885)